The following is a GGA-PBE calculation of a relaxed structure of Sr2Li3Cd5, from Alexandria via LeMat-Bulk.

Cell lengths 9.550, 9.550, 9.550 Å; angles 106.74, 87.32, 139.35 degrees
Positions (direct):
Sr 0.134 0.226 0.361
Sr 0.366 0.726 0.092
Sr 0.634 0.274 0.908
Sr 0.866 0.774 0.639
Li 0.141 0.906 0.048
Li 0.250 0.750 0.500
Li 0.359 0.406 0.765
Li 0.641 0.594 0.235
Li 0.750 0.250 0.500
Li 0.859 0.094 0.952
Cd 0.034 0.750 0.284
Cd 0.101 0.669 0.770
Cd 0.250 0.250 0.000
Cd 0.399 0.169 0.567
Cd 0.466 0.750 0.716
Cd 0.534 0.250 0.284
Cd 0.601 0.831 0.433
Cd 0.750 0.750 0.000
Cd 0.899 0.331 0.230
Cd 0.966 0.250 0.716

crystal system	orthorhombic
size of the total moment	0.00	μB/cell
DFT formation energy	-0.23	eV/atom